5
Lattice="4.841 0.000 0.000 0.000 4.841 0.000 0.000 0.000 4.841" Properties=species:S:1:pos:R:3 comment="As3HS | Alexandria | PBE | optimized geometry" polymorph_energy_mev_per_atom=463 pbc="T T T"
H 2.421 2.421 2.421
As 0.000 2.421 0.000
As 0.000 0.000 2.421
As 2.421 0.000 0.000
S 0.000 0.000 0.000